# Li4ZnAg2

A geometry-optimized Li4ZnAg2 structure (PBE, Alexandria via LeMat-Bulk).

a = 5.6565 Å, b = 5.6565 Å, c = 3.9925 Å
α = 90.00°, β = 90.00°, γ = 102.63°
Closest atoms and distances in Å follow each position.
Positions (direct):
Li  0.0000  0.5000  0.5000  4 Ag 2.69, 2 Zn 2.83, 4 Li 3.00
Li  0.1980  0.1980  0.0000  5 Li 2.80-3.00, 4 Ag 2.83-2.92, 2 Zn 2.92
Li  0.5000  0.0000  0.5000  4 Ag 2.69, 2 Zn 2.83, 4 Li 3.00
Li  0.8020  0.8020  0.0000  5 Li 2.80-3.00, 4 Ag 2.83-2.92, 2 Zn 2.92
Zn  0.5000  0.5000  0.5000  4 Ag 2.72, 8 Li 2.83-2.92
Ag  0.2903  0.7097  0.0000  8 Li 2.69-2.92, 2 Zn 2.72
Ag  0.7097  0.2903  0.0000  8 Li 2.69-2.92, 2 Zn 2.72

For the formation energy, the calculation gives -13 kJ/mol of atoms. Its excess energy over the best structure of this formula in the dataset is 0.0 meV per atom.

# Pm2NdY9

A geometry-optimized Pm2NdY9 structure (PBE, Alexandria via LeMat-Bulk).

a = 5.0824 Å, b = 5.0824 Å, c = 15.2385 Å
α = 90.00°, β = 90.00°, γ = 90.00°
Closest atoms and distances in Å follow each position.
Positions (direct):
Pm  0.0000  0.0000  0.1666  12 Y 3.59
Pm  0.0000  0.0000  0.8334  12 Y 3.59
Nd  0.0000  0.0000  0.5000  12 Y 3.59-3.60
Y  0.0000  0.5000  0.0000  8 Y 3.59, 4 Pm 3.59
Y  0.0000  0.5000  0.3329  2 Pm 3.59, 8 Y 3.59-3.60, 2 Nd 3.60
Y  0.0000  0.5000  0.6671  2 Pm 3.59, 8 Y 3.59-3.60, 2 Nd 3.60
Y  0.5000  0.0000  0.0000  8 Y 3.59, 4 Pm 3.59
Y  0.5000  0.0000  0.3329  2 Pm 3.59, 8 Y 3.59-3.60, 2 Nd 3.60
Y  0.5000  0.0000  0.6671  2 Pm 3.59, 8 Y 3.59-3.60, 2 Nd 3.60
Y  0.5000  0.5000  0.1664  8 Y 3.59, 4 Pm 3.59
Y  0.5000  0.5000  0.5000  4 Nd 3.59, 8 Y 3.60
Y  0.5000  0.5000  0.8336  8 Y 3.59, 4 Pm 3.59

For the formation energy, the calculation gives 2 kJ/mol of atoms.

# Na3TlBr4

A geometry-optimized Na3TlBr4 structure (PBE, Alexandria via LeMat-Bulk).

a = 4.3571 Å, b = 6.3429 Å, c = 8.9009 Å
α = 90.00°, β = 90.00°, γ = 90.00°
Closest atoms and distances in Å follow each position.
Positions (direct):
Na  0.0000  0.0000  0.0000  6 Br 2.95-3.17
Na  0.5000  0.5000  0.2406  6 Br 3.05-3.18
Na  0.5000  0.5000  0.7594  6 Br 3.05-3.18
Tl  0.0000  0.0000  0.5000  6 Br 3.17-3.29
Br  0.0000  0.5000  0.0000  6 Na 3.05-3.17
Br  0.0000  0.5000  0.5000  2 Tl 3.17, 4 Na 3.17
Br  0.5000  0.0000  0.2235  4 Na 2.95-3.18, 2 Tl 3.29
Br  0.5000  0.0000  0.7765  4 Na 2.95-3.18, 2 Tl 3.29

Its excess energy over the best structure of this formula in the dataset is 0.0 meV per atom. The formation energy from raw total energies comes out at -1.3605 eV per atom.

# LaInH2N

A geometry-optimized LaInH2N structure (PBE, Alexandria via LeMat-Bulk).

a = 4.6443 Å, b = 4.6443 Å, c = 4.3221 Å
α = 90.00°, β = 90.00°, γ = 90.00°
Closest atoms and distances in Å follow each position.
Positions (direct):
La  0.0000  0.0000  0.0000  2 N 2.16, 4 H 2.32
In  0.5000  0.5000  0.5000  8 H 3.17, 4 N 3.28
H  0.0000  0.5000  0.0000  2 La 2.32
H  0.5000  0.0000  0.0000  2 La 2.32
N  0.0000  0.0000  0.5000  2 La 2.16

# Pm2PuI

A geometry-optimized Pm2PuI structure (PBE, Alexandria via LeMat-Bulk).

a = 3.6559 Å, b = 3.6559 Å, c = 9.4760 Å
α = 90.00°, β = 90.00°, γ = 90.00°
Closest atoms and distances in Å follow each position.
Positions (direct):
Pm  0.0000  0.0000  0.2476  4 I 3.49, 4 Pu 3.52, 4 Pm 3.66
Pm  0.0000  0.0000  0.7524  4 I 3.49, 4 Pu 3.52, 4 Pm 3.66
Pu  0.5000  0.5000  0.5000  8 Pm 3.52, 4 Pu 3.66
I  0.5000  0.5000  0.0000  8 Pm 3.49, 4 I 3.66

Its excess energy over the best structure of this formula in the dataset is 0.0 meV per atom. The formation energy from raw total energies comes out at -0.2245 eV per atom.

# ZrSc

A geometry-optimized ZrSc structure (PBE, Alexandria via LeMat-Bulk).

a = 10.7330 Å, b = 10.7330 Å, c = 10.7330 Å
α = 17.24°, β = 17.24°, γ = 17.24°
Closest atoms and distances in Å follow each position.
Positions (direct):
Zr  0.1251  0.1251  0.1251  3 Sc 3.16, 9 Zr 3.22-3.23
Zr  0.8749  0.8749  0.8749  3 Sc 3.16, 9 Zr 3.22-3.23
Sc  0.3777  0.3777  0.3777  3 Zr 3.16, 9 Sc 3.22-3.37
Sc  0.6223  0.6223  0.6223  3 Zr 3.16, 9 Sc 3.22-3.37

For the formation energy, the calculation gives 3 kJ/mol of atoms.

# AlSbBr2

A geometry-optimized AlSbBr2 structure (PBE, Alexandria via LeMat-Bulk).

a = 5.5263 Å, b = 5.5263 Å, c = 3.5034 Å
α = 90.00°, β = 90.00°, γ = 90.15°
Closest atoms and distances in Å follow each position.
Positions (direct):
Al  0.0000  0.0000  0.0000  8 Br 3.27, 2 Al 3.50
Sb  0.5000  0.5000  0.0000  8 Br 3.27, 2 Sb 3.50
Br  0.0000  0.5000  0.5000  4 Sb 3.27, 4 Al 3.27, 2 Br 3.50
Br  0.5000  0.0000  0.5000  4 Sb 3.27, 4 Al 3.27, 2 Br 3.50

Its excess energy over the best structure of this formula in the dataset is 477.4 meV per atom. The formation energy from raw total energies comes out at 0.1402 eV per atom.

# Sc4Sb5

A geometry-optimized Sc4Sb5 structure (PBE, Alexandria via LeMat-Bulk).

a = 7.4148 Å, b = 7.4148 Å, c = 7.4148 Å
α = 95.34°, β = 95.34°, γ = 144.47°
Closest atoms and distances in Å follow each position.
Positions (direct):
Sc  0.0000  0.2943  0.2943  7 Sb 2.94-3.23
Sc  0.0000  0.7057  0.7057  7 Sb 2.94-3.23
Sc  0.2943  0.0000  0.2943  7 Sb 2.94-3.23
Sc  0.7057  0.0000  0.7057  7 Sb 2.94-3.23
Sb  0.0000  0.0000  0.0000  4 Sc 2.94
Sb  0.3223  0.3223  0.6445  4 Sb 3.05-3.38, 6 Sc 3.10-3.23
Sb  0.3223  0.6777  0.0000  4 Sb 3.05-3.38, 6 Sc 3.10-3.23
Sb  0.6777  0.3223  0.0000  4 Sb 3.05-3.38, 6 Sc 3.10-3.23
Sb  0.6777  0.6777  0.3555  4 Sb 3.05-3.38, 6 Sc 3.10-3.23

The formation energy from raw total energies comes out at -0.4413 eV per atom.

Calculated values (eV/atom) of VASP energy for the records, taken in order: -2.22, -6.02, -2.99, -4.44, -6.57, -7.41, -2.66, -5.55.
Calculated values (kg/m3) of theoretical density for the records, taken in order: 4115, 5207, 4003, 4805, 8665, 4775, 4789, 5804.